A plane-wave DFT calculation with PBE-GGA was carried out for a geometry-optimized SrZr4Zn structure.

Cell lengths 6.0171, 6.0171, 6.0171 Å; angles 60.00, 60.00, 60.00 degrees
With the nearest neighbours (Å) after each atom.
Atoms (fractional coordinates):
Sr 0.0000 0.0000 0.0000  12 Zr 3.53, 4 Zn 3.68
Zr 0.3747 0.3747 0.3747  6 Zr 3.00-3.02
Zr 0.3747 0.3747 0.8759  6 Zr 3.00-3.02
Zr 0.3747 0.8759 0.3747  6 Zr 3.00-3.02
Zr 0.8759 0.3747 0.3747  6 Zr 3.00-3.02
Zn 0.7500 0.7500 0.7500  12 Zr 3.53, 4 Sr 3.68

## Properties
magnetization = 0.00 μB/cell
energy relative to the elements = 2.85 eV per formula unit